# NaY3S

A relaxed NaY3S crystal (PBE-GGA, Alexandria via LeMat-Bulk). Values from VASP.

Output
Its density of states at the Fermi level is 7.03 states/eV/f.u. As for the formation energy (no corrections): 0.82 eV/atom. Its crystal system is cubic.

Cell and atoms, written as Quantum ESPRESSO input:
```
&SYSTEM
  ibrav = 0, nat = 5, ntyp = 3
/
ATOMIC_SPECIES
Na 22.99 Na.upf
Y 88.91 Y.upf
S 32.06 S.upf
CELL_PARAMETERS angstrom
5.4617 0.0000 0.0000
0.0000 5.4617 0.0000
0.0000 0.0000 5.4617
ATOMIC_POSITIONS angstrom
Na 0.0000 0.0000 0.0000
Y 0.0000 0.0000 2.7308
Y 0.0000 2.7308 0.0000
Y 2.7308 0.0000 0.0000
S 2.7308 2.7308 2.7308
```

---

# Na2YS

A relaxed Na2YS crystal (PBE-GGA, Alexandria via LeMat-Bulk). Values from VASP.

Output
Its density of states at the Fermi level is 2.35 states/eV/f.u. As for the formation energy (no corrections): -0.48 eV/atom. Its crystal system is tetragonal.

Cell and atoms, written as Quantum ESPRESSO input:
```
&SYSTEM
  ibrav = 0, nat = 16, ntyp = 3
/
ATOMIC_SPECIES
Na 22.99 Na.upf
Y 88.91 Y.upf
S 32.06 S.upf
CELL_PARAMETERS angstrom
9.5654 0.0000 0.0000
0.0000 9.5654 0.0000
0.0000 0.0000 5.3081
ATOMIC_POSITIONS angstrom
Na 1.5039 2.3913 0.6635
Na 2.3913 6.2866 1.9905
Na 2.3913 8.0615 4.6445
Na 3.2788 2.3913 3.3175
Na 6.2866 7.1740 3.3175
Na 7.1740 1.5039 4.6445
Na 7.1740 3.2788 1.9905
Na 8.0615 7.1740 0.6635
Y 0.0000 0.0000 2.6540
Y 0.0000 4.7827 3.9810
Y 4.7827 0.0000 1.3270
Y 4.7827 4.7827 0.0000
S 0.0000 0.0000 0.0000
S 0.0000 4.7827 1.3270
S 4.7827 0.0000 3.9810
S 4.7827 4.7827 2.6540
```

---

# NaYS2

A relaxed NaYS2 crystal (PBE-GGA, Alexandria via LeMat-Bulk). Values from VASP.

Output
Its density of states at the Fermi level is 0.00 states/eV/f.u. As for the formation energy (no corrections): -1.85 eV/atom. Its crystal system is trigonal.

Cell and atoms, written as Quantum ESPRESSO input:
```
&SYSTEM
  ibrav = 0, nat = 12, ntyp = 3
/
ATOMIC_SPECIES
Na 22.99 Na.upf
Y 88.91 Y.upf
S 32.06 S.upf
CELL_PARAMETERS angstrom
3.9892 0.0000 0.0000
-1.9946 3.4547 0.0000
0.0000 0.0000 20.0540
ATOMIC_POSITIONS angstrom
Na 0.0000 0.0000 0.0000
Na 0.0000 2.3031 13.3694
Na 1.9946 1.1516 6.6847
Y 0.0000 0.0000 10.0270
Y 0.0000 2.3031 3.3423
Y 1.9946 1.1516 16.7117
S 0.0000 0.0000 4.8608
S 0.0000 0.0000 15.1932
S 0.0000 2.3031 8.5085
S 0.0000 2.3031 18.2302
S 1.9946 1.1516 1.8238
S 1.9946 1.1516 11.5455
```

---

# NaYS2

A relaxed NaYS2 crystal (PBE-GGA, Alexandria via LeMat-Bulk). Values from VASP.

Output
Its density of states at the Fermi level is 0.00 states/eV/f.u. As for the formation energy (no corrections): -1.81 eV/atom. Its crystal system is trigonal.

Cell and atoms, written as Quantum ESPRESSO input:
```
&SYSTEM
  ibrav = 0, nat = 12, ntyp = 3
/
ATOMIC_SPECIES
Na 22.99 Na.upf
Y 88.91 Y.upf
S 32.06 S.upf
CELL_PARAMETERS angstrom
3.9569 0.0000 0.0000
-1.9785 3.4268 0.0000
0.0000 0.0000 20.8449
ATOMIC_POSITIONS angstrom
Na 0.0000 0.0000 0.0000
Na 0.0000 2.2845 13.8966
Na 1.9785 1.1423 6.9483
Y 0.0000 0.0000 3.5651
Y 0.0000 2.2845 17.4617
Y 1.9785 1.1423 10.5134
S 0.0000 0.0000 12.0558
S 0.0000 0.0000 15.9204
S 0.0000 2.2845 5.1075
S 0.0000 2.2845 8.9721
S 1.9785 1.1423 2.0238
S 1.9785 1.1423 19.0041
```

---

Which value of formation energy (no corrections) does entry 4 give? -1.81 eV/atom